DFT (PBE) results for Er8PuIn2 after structural relaxation.

Computed properties:
As for the spin magnetization: 6.69 Bohr magnetons per cell. As for the energy of formation: 123 meV per atom. For the final energy, the calculation gives -0.18360 hartree per atom.

a = 5.8578 Å, b = 9.0376 Å, c = 9.0376 Å
α = 52.45°, β = 64.47°, γ = 64.47°
With the nearest neighbours (Å) after each atom.
Fractional coordinates of all 11 atoms:
Er 0.2237 0.1228 0.1228  1 Pu 2.86
Er 0.7763 0.8772 0.8772  1 Pu 2.86
Er 0.6579 0.7784 0.3742  1 Pu 2.97, 1 In 3.20, 2 Er 3.23-3.29
Er 0.9251 0.3620 0.3620  7 Er 3.40-3.46, 2 In 3.47-3.50
Er 0.3421 0.2216 0.6258  1 Pu 2.97, 1 In 3.20, 2 Er 3.23-3.29
Er 0.0749 0.6380 0.6380  7 Er 3.40-3.46, 2 In 3.47-3.50
Er 0.3421 0.6258 0.2216  1 Pu 2.97, 1 In 3.20, 2 Er 3.23-3.29
Er 0.6579 0.3742 0.7784  1 Pu 2.97, 1 In 3.20, 2 Er 3.23-3.29
In 0.4010 0.7709 0.7709  8 Er 3.20-3.50, 1 Pu 3.31
In 0.5990 0.2291 0.2291  8 Er 3.20-3.50, 1 Pu 3.31
Pu 0.0000 0.0000 0.0000  6 Er 2.86-2.97